1.
# LiTcMoOs

Crystalline LiTcMoOs at its relaxed geometry (PBE, Alexandria).

Output
DFT formation energy = 0.17 eV/atom
calculated total energy = -8.415 eV per atom

Geometry as POSCAR:
```
LiTcMoOs
1.0
0.0000 3.0422 3.0422
3.0422 0.0000 3.0422
3.0422 3.0422 0.0000
Li Tc Mo Os
1 1 1 1
Cartesian
0.0000 0.0000 0.0000 Li
4.5634 4.5634 4.5634 Tc
3.0422 3.0422 3.0422 Mo
1.5211 1.5211 1.5211 Os
```

---

2.
# TlSeN

Crystalline TlSeN at its relaxed geometry (PBE, Alexandria).

Output
energy relative to the lowest polymorph listed for this composition = 0.000 eV per formula unit
calculated total energy = -4.874 eV per atom
formation energy (no corrections) = -0.45 eV/f.u.

Geometry as POSCAR:
```
TlSeN
1.0
12.0186 0.0000 0.0000
0.0000 4.1552 0.0000
-2.3846 0.0000 7.9663
Tl Se N
4 4 4
Cartesian
0.4490 1.0390 3.3873 Tl
-0.7434 1.0386 7.3704 Tl
10.3773 3.1166 0.5959 Tl
9.1850 3.1162 4.5790 Tl
1.3085 3.1160 1.4739 Se
0.1162 3.1167 5.4571 Se
9.5177 1.0384 2.5092 Se
8.3254 1.0392 6.4924 Se
5.6293 2.3989 0.2499 N
4.4370 3.8339 4.2331 N
5.1970 0.3213 3.7332 N
4.0047 1.7563 7.7164 N
```

---

3.
# AcLa2HoS6

Crystalline AcLa2HoS6 at its relaxed geometry (PBE, Alexandria).

Output
calculated total energy = -6.440 eV per atom
formation energy (no corrections) = -21.09 eV/f.u.

Geometry as POSCAR:
```
AcLa2HoS6
1.0
3.6493 2.1069 6.3404
-3.6493 2.1069 6.3404
0.0000 -4.2138 6.3404
Ac La Ho S
1 2 1 6
Cartesian
0.0000 0.0000 0.0000 Ac
0.0000 0.0000 4.0178 La
0.0000 0.0000 13.6389 La
0.0000 0.0000 9.6856 Ho
-0.9927 -2.2256 8.4228 S
-2.0581 0.0703 11.5469 S
-1.4311 1.9725 8.4228 S
0.9682 -1.8175 11.5469 S
2.4238 0.2531 8.4228 S
1.0899 1.7472 11.5469 S
```

---

4.
# LaOs2N

Crystalline LaOs2N at its relaxed geometry (PBE, Alexandria).

Output
calculated total energy = -8.606 eV per atom
formation energy (no corrections) = 1.29 eV/f.u.

Geometry as POSCAR:
```
LaOs2N
1.0
-2.4438 2.4438 6.6506
2.4438 -2.4438 6.6506
2.4438 2.4438 -6.6506
La Os N
2 4 2
Cartesian
2.4438 1.2219 1.6627 La
0.0000 1.2219 4.9880 La
0.0000 0.0000 0.0000 Os
1.2219 1.2219 -3.3253 Os
1.2219 -1.2219 3.3253 Os
0.0000 2.4438 0.0000 Os
2.4438 -1.2219 4.9880 N
0.0000 3.6656 1.6627 N
```

---

5.
# HgRhPb2

Crystalline HgRhPb2 at its relaxed geometry (PBE, Alexandria).

Output
DFT formation energy = 0.09 eV/atom
calculated total energy = -3.681 eV per atom

Geometry as POSCAR:
```
HgRhPb2
1.0
3.3081 0.0000 0.0000
0.0000 3.3081 0.0000
0.0000 0.0000 8.7710
Hg Rh Pb
1 1 2
Cartesian
0.0000 0.0000 0.0000 Hg
1.6540 1.6540 7.0623 Rh
0.0000 0.0000 5.3744 Pb
1.6540 1.6540 2.4488 Pb
```

---

6.
# MnSb2Au

Crystalline MnSb2Au at its relaxed geometry (PBE, Alexandria).

Output
energy relative to the lowest polymorph listed for this composition = 0.451 eV per formula unit
calculated total energy = -5.030 eV per atom
formation energy (no corrections) = 0.57 eV/f.u.

Geometry as POSCAR:
```
MnSb2Au
1.0
1.7925 1.0349 7.7513
-1.7925 1.0349 7.7513
0.0000 -2.0698 7.7513
Mn Sb Au
1 2 1
Cartesian
0.0000 0.0000 0.0000 Mn
0.0000 0.0000 5.9787 Sb
0.0000 0.0000 17.2752 Sb
0.0000 0.0000 11.6269 Au
```

---

| no. | V (Å³ per atom) | magnetization (Bohr magnetons per cell) |
| --- | --- | --- |
| 1 | 14.1 | 0.00 |
| 2 | 33.2 | 0.00 |
| 3 | 29.2 | 0.00 |
| 4 | 19.9 | 0.00 |
| 5 | 24.0 | 0.00 |
| 6 | 21.6 | 2.65 |